Model one:
RbPPdCl2 after structural relaxation. Source: the Alexandria database, functional PBE.

Lattice parameters (Å, degrees): 5.4197 5.4197 4.4864 90.00 90.00 90.00
Last column: nearest neighbours and their distance in Å.
Space group P4/mmm (No. 123)
One atom of each set of equivalent atoms:
Rb  0.0000  0.0000  0.0000 [1 per cell]  8 Cl 3.52, 4 P 3.83
P  0.5000  0.5000  0.0000 [1 per cell]  2 Pd 2.24
Pd  0.5000  0.5000  0.5000 [1 per cell]  2 P 2.24
Cl  0.0000  0.5000  0.5000 [2 per cell]  2 Pd 2.71

Computed properties:
ρ = 3.7 Mg/m³

Model two:
RbPPdCl2 after structural relaxation. Source: the Alexandria database, functional PBE.

Lattice parameters (Å, degrees): 6.1457 6.1457 6.5184 90.00 90.00 90.00
Last column: nearest neighbours and their distance in Å.
Space group P4/mmm (No. 123)
One atom of each set of equivalent atoms:
Rb  0.0000  0.0000  0.0000 [1 per cell]  4 Cl 3.07, 2 P 3.26
P  0.0000  0.0000  0.5000 [1 per cell]  2 Rb 3.26
Pd  0.5000  0.5000  0.5000 [1 per cell]  4 P 4.35, 8 Cl 4.48
Cl  0.0000  0.5000  0.0000 [2 per cell]  2 Rb 3.07

Computed properties:
ρ = 2.0 Mg/m³

Here are the energies relative to the best structure, in eV/atom: model one 0.000; model two 1.294.

Model one:
ReP2PdCl after structural relaxation. Source: the Alexandria database, functional PBE.

Lattice parameters (Å, degrees): 4.5421 4.5421 5.0572 90.00 90.00 90.00
Last column: nearest neighbours and their distance in Å.
Space group P4/mmm (No. 123)
One atom of each set of equivalent atoms:
Re  0.0000  0.0000  0.0000 [1 per cell]  4 P 2.27, 2 Cl 2.53
P  0.0000  0.5000  0.0000 [2 per cell]  2 Re 2.27
Pd  0.5000  0.5000  0.5000 [1 per cell]  4 Cl 3.21, 8 P 3.40
Cl  0.0000  0.0000  0.5000 [1 per cell]  2 Re 2.53

Computed properties:
ρ = 6.2 Mg/m³

Model two:
ReP2PdCl after structural relaxation. Source: the Alexandria database, functional PBE.

Lattice parameters (Å, degrees): 4.6832 4.6832 4.6928 90.00 90.00 90.00
Last column: nearest neighbours and their distance in Å.
Space group P4/mmm (No. 123)
One atom of each set of equivalent atoms:
Re  0.0000  0.0000  0.0000 [1 per cell]  4 Cl 3.31, 8 P 3.31
P  0.0000  0.5000  0.5000 [2 per cell]  2 Pd 2.34
Pd  0.5000  0.5000  0.5000 [1 per cell]  4 P 2.34, 2 Cl 2.35
Cl  0.5000  0.5000  0.0000 [1 per cell]  2 Pd 2.35

Computed properties:
ρ = 6.3 Mg/m³

Here are the energies relative to the best structure, in eV/atom: model one 0.000; model two 0.720.

Model one:
PPdRuCl2 after structural relaxation. Source: the Alexandria database, functional PBE.

Lattice parameters (Å, degrees): 4.8639 4.8639 4.4607 90.00 90.00 90.00
Last column: nearest neighbours and their distance in Å.
Space group P4/mmm (No. 123)
One atom of each set of equivalent atoms:
P  0.0000  0.0000  0.0000 [1 per cell]  2 Ru 2.23
Pd  0.5000  0.5000  0.0000 [1 per cell]  8 Cl 3.30, 4 P 3.44
Ru  0.0000  0.0000  0.5000 [1 per cell]  2 P 2.23, 4 Cl 2.43
Cl  0.0000  0.5000  0.5000 [2 per cell]  2 Ru 2.43

Computed properties:
ρ = 4.9 Mg/m³

Model two:
PPdRuCl2 after structural relaxation. Source: the Alexandria database, functional PBE.

Lattice parameters (Å, degrees): 4.8084 4.8084 4.7363 90.00 90.00 90.00
Last column: nearest neighbours and their distance in Å.
Space group P4/mmm (No. 123)
One atom of each set of equivalent atoms:
P  0.0000  0.0000  0.0000 [1 per cell]  2 Pd 2.37
Pd  0.0000  0.0000  0.5000 [1 per cell]  2 P 2.37, 4 Cl 2.40
Ru  0.5000  0.5000  0.0000 [1 per cell]  8 Cl 3.37, 4 P 3.40
Cl  0.0000  0.5000  0.5000 [2 per cell]  2 Pd 2.40

Computed properties:
ρ = 4.7 Mg/m³

Here are the energies relative to the best structure, in eV/atom: model one 0.000; model two 0.426.